# 1
DFT (PBE-GGA) results for an optimized crystal structure of YMoAsC2.

a = 4.186 Å, b = 4.722 Å, c = 4.186 Å
α = 90.00°, β = 90.00°, γ = 90.00°
Element x y z (fractional)
Y (0.500, 0.500, 0.500)
C (0.000, 0.000, 0.500)
C (0.500, 0.000, 0.000)
Mo (0.000, 0.500, 0.000)
As (0.000, 0.000, 0.000)

ΔE_f = 1.8470 eV per atom
size of the total moment = 0.00 μB/atom
energy above the lowest structure with this stoichiometry = 0.000 eV/atom
calculated density = 5.70 g/cm³
crystal system = tetragonal
SG = No. 123

# 2
DFT (PBE-GGA) results for an optimized crystal structure of SiAs2CN.

a = 4.526 Å, b = 3.315 Å, c = 4.526 Å
α = 90.00°, β = 90.00°, γ = 90.00°
Element x y z (fractional)
C (0.000, 0.500, 0.000)
As (0.000, 0.000, 0.500)
As (0.500, 0.000, 0.000)
Si (0.500, 0.500, 0.500)
N (0.000, 0.000, 0.000)

size of the total moment = 0.00 μB/atom
raw formation energy = 1.62 eV per atom
calculated density = 4.99 g/cm³
crystal system = tetragonal
SG = No. 123

# 3
DFT (PBE-GGA) results for an optimized crystal structure of Th6AsC3N2.

a = 3.823 Å, b = 7.719 Å, c = 8.658 Å
α = 103.45°, β = 102.75°, γ = 90.00°
Element x y z (fractional)
Th (0.323, 0.910, 0.646)
Th (0.669, 0.580, 0.338)
Th (0.677, 0.090, 0.354)
Th (0.997, 0.276, 0.994)
Th (0.003, 0.724, 0.006)
Th (0.331, 0.420, 0.662)
As (0.500, 0.000, 0.000)
C (0.500, 0.500, 0.000)
C (0.831, 0.173, 0.661)
C (0.169, 0.827, 0.339)
N (0.822, 0.658, 0.643)
N (0.178, 0.342, 0.357)

size of the total moment = 0.00 μB/atom
raw formation energy = -0.82 eV per atom
calculated density = 10.51 g/cm³
crystal system = monoclinic
SG = No. 12

# 4
DFT (PBE-GGA) results for an optimized crystal structure of Th8As3C3N.

a = 7.785 Å, b = 7.783 Å, c = 8.152 Å
α = 118.52°, β = 90.01°, γ = 119.98°
Element x y z (fractional)
Th (0.263, 0.526, 0.290)
Th (0.737, 0.474, 0.710)
Th (0.763, 0.526, 0.291)
Th (0.237, 0.474, 0.709)
Th (0.763, 0.028, 0.291)
Th (0.237, 0.972, 0.709)
Th (0.265, 0.028, 0.291)
Th (0.735, 0.972, 0.709)
As (0.000, 0.000, 0.000)
As (0.000, 0.500, 0.000)
As (0.500, 0.500, 0.000)
C (0.500, 0.000, 0.500)
C (0.500, 0.500, 0.500)
C (0.000, 0.500, 0.500)
N (0.000, 0.000, 0.500)

size of the total moment = 0.00 μB/atom
raw formation energy = -0.81 eV per atom
calculated density = 9.91 g/cm³
crystal system = trigonal
SG = No. 166

# 5
DFT (PBE-GGA) results for an optimized crystal structure of Th4AsC2N.

a = 6.727 Å, b = 6.166 Å, c = 6.166 Å
α = 66.12°, β = 56.94°, γ = 56.94°
Element x y z (fractional)
Th (0.442, 0.128, 0.558)
Th (0.128, 0.872, 0.442)
Th (0.872, 0.558, 0.128)
Th (0.558, 0.442, 0.872)
As (0.000, 0.000, 0.000)
C (0.250, 0.250, 0.250)
C (0.750, 0.750, 0.750)
N (0.500, 0.500, 0.500)

size of the total moment = 0.00 μB/atom
raw formation energy = -0.51 eV per atom
calculated density = 9.74 g/cm³
crystal system = tetragonal
SG = No. 121

# 6
DFT (PBE-GGA) results for an optimized crystal structure of Th3AsCN.

a = 3.957 Å, b = 8.085 Å, c = 8.914 Å
α = 103.99°, β = 90.00°, γ = 90.00°
Element x y z (fractional)
Th (0.250, 0.801, 0.473)
Th (0.750, 0.880, 0.136)
Th (0.750, 0.441, 0.151)
Th (0.750, 0.199, 0.527)
Th (0.250, 0.559, 0.849)
Th (0.250, 0.120, 0.864)
As (0.750, 0.816, 0.771)
As (0.250, 0.184, 0.229)
C (0.250, 0.661, 0.140)
C (0.750, 0.339, 0.860)
N (0.250, 0.095, 0.598)
N (0.750, 0.905, 0.402)

size of the total moment = 0.00 μB/atom
raw formation energy = -1.01 eV per atom
calculated density = 9.56 g/cm³
crystal system = monoclinic
SG = No. 11

# 7
DFT (PBE-GGA) results for an optimized crystal structure of U4AsC2N.

a = 3.640 Å, b = 6.668 Å, c = 11.607 Å
α = 90.00°, β = 90.00°, γ = 105.84°
Element x y z (fractional)
U (0.252, 0.504, 0.086)
U (0.748, 0.496, 0.586)
U (0.748, 0.496, 0.914)
U (0.252, 0.504, 0.414)
U (0.000, 0.000, 0.500)
U (0.000, 0.000, 0.000)
U (0.437, 0.874, 0.750)
U (0.563, 0.126, 0.250)
As (0.119, 0.238, 0.750)
As (0.881, 0.762, 0.250)
C (0.387, 0.775, 0.561)
C (0.613, 0.225, 0.061)
C (0.613, 0.225, 0.439)
C (0.387, 0.775, 0.939)
N (0.827, 0.653, 0.750)
N (0.173, 0.347, 0.250)

size of the total moment = 0.40 μB/atom
raw formation energy = -0.43 eV per atom
calculated density = 13.05 g/cm³
crystal system = orthorhombic
SG = No. 63

# 8
DFT (PBE-GGA) results for an optimized crystal structure of ZrAsC2N.

a = 3.857 Å, b = 3.860 Å, c = 3.857 Å
α = 90.00°, β = 90.00°, γ = 90.00°
Element x y z (fractional)
As (0.000, 0.000, 0.000)
C (0.000, 0.000, 0.500)
C (0.500, 0.000, 0.000)
Zr (0.500, 0.500, 0.500)
N (0.000, 0.500, 0.000)

size of the total moment = 0.00 μB/atom
raw formation energy = 1.34 eV per atom
calculated density = 5.90 g/cm³
crystal system = tetragonal
SG = No. 123

# 9
DFT (PBE-GGA) results for an optimized crystal structure of Zr4AsC2N.

a = 6.059 Å, b = 5.607 Å, c = 5.607 Å
α = 65.41°, β = 57.30°, γ = 57.30°
Element x y z (fractional)
Zr (0.464, 0.128, 0.536)
Zr (0.128, 0.872, 0.464)
Zr (0.872, 0.536, 0.128)
Zr (0.536, 0.464, 0.872)
As (0.000, 0.000, 0.000)
C (0.250, 0.250, 0.250)
C (0.750, 0.750, 0.750)
N (0.500, 0.500, 0.500)

size of the total moment = 0.00 μB/atom
raw formation energy = -0.59 eV per atom
calculated density = 5.97 g/cm³
crystal system = tetragonal
SG = No. 121

# 10
DFT (PBE-GGA) results for an optimized crystal structure of NaAs2C.

a = 6.429 Å, b = 6.429 Å, c = 5.763 Å
α = 56.10°, β = 56.10°, γ = 90.00°
Element x y z (fractional)
Na (0.000, 0.000, 0.000)
Na (0.750, 0.250, 0.500)
As (0.522, 0.125, 0.250)
As (0.228, 0.625, 0.250)
As (0.375, 0.478, 0.750)
As (0.875, 0.772, 0.750)
C (0.500, 0.500, 0.000)
C (0.250, 0.750, 0.500)

ΔE_f = 0.5201 eV per atom
size of the total moment = 0.00 μB/atom
calculated density = 4.19 g/cm³
crystal system = tetragonal
SG = No. 122

# 11
DFT (PBE-GGA) results for an optimized crystal structure of Na3AsC.

a = 4.877 Å, b = 4.877 Å, c = 4.877 Å
α = 90.00°, β = 90.00°, γ = 90.00°
Element x y z (fractional)
Na (0.000, 0.500, 0.000)
Na (0.000, 0.000, 0.500)
Na (0.500, 0.000, 0.000)
As (0.500, 0.500, 0.500)
C (0.000, 0.000, 0.000)

ΔE_f = 0.8443 eV per atom
size of the total moment = 0.40 μB/atom
energy above the lowest structure with this stoichiometry = 0.000 eV/atom
calculated density = 2.23 g/cm³
crystal system = cubic
SG = No. 221

# 12
DFT (PBE-GGA) results for an optimized crystal structure of NaAs3C.

a = 4.501 Å, b = 4.501 Å, c = 4.501 Å
α = 90.00°, β = 90.00°, γ = 90.00°
Element x y z (fractional)
Na (0.500, 0.500, 0.500)
As (0.000, 0.500, 0.000)
As (0.000, 0.000, 0.500)
As (0.500, 0.000, 0.000)
C (0.000, 0.000, 0.000)

ΔE_f = 0.8679 eV per atom
size of the total moment = 0.00 μB/atom
energy above the lowest structure with this stoichiometry = 0.000 eV/atom
calculated density = 4.73 g/cm³
crystal system = cubic
SG = No. 221

- The lowest calculated density belongs to which entry?
  Na3AsC

- Among the records above, which one has the highest calculated density?
  U4AsC2N

- What is the formula in the second record?
  SiAs2CN